# 1
Below is an optimized crystal structure of TbSm2Tm, with properties calculated at the PBE-GGA level.

It has space group Fm-3m (No. 225), with a = 8.0583 Å, b = 8.0583 Å, c = 8.0583 Å, α = 90.00°, β = 90.00° and γ = 90.00°. The inequivalent atoms are Tb at (0.0000, 0.0000, 0.0000), Sm at (0.2500, 0.2500, 0.2500) and Tm at (0.0000, 0.0000, 0.5000).

The calculated density is 7.98 g/cm3. Its energy relative to the elements is 126 meV/atom. The calculated volume is 523.27 Å³ per cell. The calculation puts the energy above the most stable polymorph in this dataset at 110.4 meV per atom. For the density of states at the Fermi level, the calculation gives 8.3 states/eV/f.u.

=====

# 2
Below is an optimized crystal structure of KVBiBr6, with properties calculated at the PBE-GGA level.

It has space group P-31c (No. 163), with a = 7.2300 Å, b = 7.2300 Å, c = 14.4217 Å, α = 90.00°, β = 90.00° and γ = 120.00°. The inequivalent atoms are K at (0.0000, 0.0000, 0.0000), V at (0.3333, 0.6667, 0.2500), Bi at (0.3333, 0.6667, 0.7500) and Br at (0.0264, 0.3832, 0.1415).

The calculated density is 3.96 g/cm3. The uncorrected formation energy comes out at -95.7 kJ/mol of atoms. The calculated volume is 652.86 Å³ per cell.

=====

# 3
Below is an optimized crystal structure of Ce2Y3Os2, with properties calculated at the PBE-GGA level.

It has space group C2/m (No. 12), with a = 12.0534 Å, b = 3.8391 Å, c = 8.7369 Å, α = 90.00°, β = 112.29° and γ = 90.00°. The inequivalent atoms are Ce at (0.1701, 0.0000, 0.3112), Y at (0.0000, 0.5000, 0.5000), Y at (0.1212, 0.5000, 0.9224) and Os at (0.1905, 0.0000, 0.7240).

The calculated density is 8.23 g/cm3. Its energy relative to the elements is -193 meV/atom. The calculated volume is 374.08 Å³ per cell. For the density of states at the Fermi level, the calculation gives 11.9 states/eV/f.u.

=====

# 4
Below is an optimized crystal structure of LiCa3Pm3S8, with properties calculated at the PBE-GGA level.

It has space group R-3m (No. 166, hexagonal axes), with a = 8.0308 Å, b = 8.0308 Å, c = 19.7104 Å, α = 90.00°, β = 90.00° and γ = 120.00°. The inequivalent atoms are Li at (0.0000, 0.0000, 0.0000), Ca at (0.0000, 0.5000, 0.5000), Pm at (0.0000, 0.5000, 0.0000), S at (0.0000, 0.0000, 0.2500) and S at (0.0066, 0.5033, 0.7458).

The calculated density is 3.70 g/cm3. The uncorrected formation energy comes out at -187.5 kJ/mol of atoms. The calculated volume is 1100.90 Å³ per cell.

=====

# 5
Below is an optimized crystal structure of K2ReIr, with properties calculated at the PBE-GGA level.

It has space group R-3m (No. 166, hexagonal axes), with a = 2.8219 Å, b = 2.8219 Å, c = 34.7410 Å, α = 90.00°, β = 90.00° and γ = 120.00°. The inequivalent atoms are K at (0.0000, 0.0000, 0.2475), Re at (0.0000, 0.0000, 0.0000) and Ir at (0.0000, 0.0000, 0.5000).

The calculated density is 9.49 g/cm3. Its energy relative to the elements is 1142 meV/atom. The calculated volume is 239.59 Å³ per cell. The calculation puts the energy above the most stable polymorph in this dataset at 579.7 meV per atom. For the density of states at the Fermi level, the calculation gives 4.0 states/eV/f.u.

=====

# 6
Below is an optimized crystal structure of NaCa2TiGe, with properties calculated at the PBE-GGA level.

It has space group P4/mmm (No. 123), with a = 5.7648 Å, b = 5.7648 Å, c = 4.9990 Å, α = 90.00°, β = 90.00° and γ = 90.00°. The inequivalent atoms are Na at (0.0000, 0.0000, 0.0000), Ca at (0.0000, 0.5000, 0.5000), Ti at (0.5000, 0.5000, 0.5000) and Ge at (0.5000, 0.5000, 0.0000).

The calculated density is 2.24 g/cm3. Its energy relative to the elements is 360 meV/atom. The calculated volume is 166.13 Å³ per cell. For the density of states at the Fermi level, the calculation gives 3.8 states/eV/f.u.

=====

# 7
Below is an optimized crystal structure of AcHg5Pd2, with properties calculated at the PBE-GGA level.

It has space group Immm (No. 71), with a = 4.3728 Å, b = 8.5550 Å, c = 10.2438 Å, α = 90.00°, β = 90.00° and γ = 90.00°. The inequivalent atoms are Ac at (0.0000, 0.0000, 0.0000), Hg at (0.0000, 0.1862, 0.3461), Hg at (0.0000, 0.5000, 0.0000) and Pd at (0.0000, 0.5000, 0.2795).

The calculated density is 12.50 g/cm3. Its energy relative to the elements is -312 meV/atom. The calculated volume is 383.21 Å³ per cell. For the density of states at the Fermi level, the calculation gives 3.4 states/eV/f.u.

=====

# 8
Below is an optimized crystal structure of LiPr2Ta, with properties calculated at the PBE-GGA level.

It has space group R-3m (No. 166, hexagonal axes), with a = 3.2271 Å, b = 3.2271 Å, c = 35.9512 Å, α = 90.00°, β = 90.00° and γ = 120.00°. The inequivalent atoms are Li at (0.0000, 0.0000, 0.0000), Pr at (0.0000, 0.0000, 0.4176) and Ta at (0.0000, 0.0000, 0.5000).

The calculated density is 7.22 g/cm3. Its energy relative to the elements is 661 meV/atom. The calculated volume is 324.24 Å³ per cell. For the density of states at the Fermi level, the calculation gives 5.3 states/eV/f.u.

=====

# 9
Below is an optimized crystal structure of MnSiPH, with properties calculated at the PBE-GGA level.

It has space group Cm (No. 8), with a = 8.3343 Å, b = 2.7276 Å, c = 4.1188 Å, α = 90.00°, β = 101.26° and γ = 90.00°. The inequivalent atoms are Mn at (0.0000, 0.0000, 0.0000), Si at (0.4523, 0.0000, 0.5302), P at (0.2807, 0.0000, 0.0477) and H at (0.0898, 0.5000, 0.2542).

The calculated density is 4.16 g/cm3. The calculated volume is 91.83 Å³ per cell. The calculation puts the energy above the most stable polymorph in this dataset at 117.2 meV per atom. For the density of states at the Fermi level, the calculation gives 2.0 states/eV/f.u.

=====

# 10
Below is an optimized crystal structure of Sm6Mg2Rh, with properties calculated at the PBE-GGA level.

It has space group Cmmm (No. 65), with a = 6.9012 Å, b = 15.6835 Å, c = 5.0017 Å, α = 90.00°, β = 90.00° and γ = 90.00°. The inequivalent atoms are Sm at (0.2426, 0.0000, 0.0000), Sm at (0.2490, 0.1475, 0.5000), Mg at (0.0000, 0.2543, 0.0000) and Rh at (0.0000, 0.0000, 0.5000).

The calculated density is 6.46 g/cm3. Its energy relative to the elements is -58 meV/atom. The calculated volume is 541.35 Å³ per cell. For the density of states at the Fermi level, the calculation gives 8.5 states/eV/f.u.

=====

# 11
Below is an optimized crystal structure of Pr3Dy2Ho2, with properties calculated at the PBE-GGA level.

It has space group C2/m (No. 12), with a = 17.6600 Å, b = 3.5320 Å, c = 8.6110 Å, α = 90.00°, β = 118.60° and γ = 90.00°. The inequivalent atoms are Pr at (0.0000, 0.0000, 0.0000), Pr at (0.2138, 0.0000, 0.2991), Dy at (0.1428, 0.0000, 0.8209) and Ho at (0.0640, 0.5000, 0.4092).

The calculated density is 7.59 g/cm3. Its energy relative to the elements is 112 meV/atom. The calculated volume is 471.59 Å³ per cell. The calculation puts the energy above the most stable polymorph in this dataset at 71.8 meV per atom. For the density of states at the Fermi level, the calculation gives 10.7 states/eV/f.u.

=====

# 12
Below is an optimized crystal structure of KDyMgCl6, with properties calculated at the PBE-GGA level.

It has space group P-31c (No. 163), with a = 6.7777 Å, b = 6.7777 Å, c = 13.8247 Å, α = 90.00°, β = 90.00° and γ = 120.00°. The inequivalent atoms are K at (0.0000, 0.0000, 0.0000), Dy at (0.3333, 0.6667, 0.2500), Mg at (0.3333, 0.6667, 0.7500) and Cl at (0.0131, 0.3791, 0.6435).

The calculated density is 2.65 g/cm3. The uncorrected formation energy comes out at -202.8 kJ/mol of atoms. The calculated volume is 549.99 Å³ per cell. For the density of states at the Fermi level, the calculation gives 0.0 states/eV/f.u.

=====

Total magnetization in μB/f.u., matching the order above: 0.0 3.0 1.1 0.0 0.0 0.7 0.0 0.0 0.3 0.0 0.0 0.0